# 1
TmInBi2O6: relaxed, GGA-PBE.

Unit cell a=5.712 b=6.121 c=10.065 alpha=90.00 beta=124.51 gamma=90.00
Positions (direct):
Tm 0.000 0.000 0.000
Tm 0.000 0.500 0.500
In 0.500 0.000 0.500
In 0.500 0.500 0.000
Bi 0.260 0.040 0.749
Bi 0.260 0.460 0.249
Bi 0.740 0.540 0.751
Bi 0.740 0.960 0.251
O 0.118 0.050 0.252
O 0.118 0.450 0.752
O 0.234 0.683 0.061
O 0.234 0.817 0.561
O 0.391 0.185 0.062
O 0.391 0.315 0.562
O 0.609 0.685 0.438
O 0.609 0.815 0.938
O 0.766 0.183 0.439
O 0.766 0.317 0.939
O 0.882 0.550 0.248
O 0.882 0.950 0.748

Calculated values
The space group is P2_1/c. The value obtained for the density of states at the Fermi level is 0.0 states/eV/cell.


# 2
UInBiO6: relaxed, GGA-PBE.

Unit cell a=5.632 b=5.632 c=10.009 alpha=90.00 beta=90.00 gamma=120.00
Positions (direct):
U 0.333 0.667 0.250
U 0.667 0.333 0.750
In 0.333 0.667 0.750
In 0.667 0.333 0.250
Bi 0.000 0.000 0.000
Bi 0.000 0.000 0.500
O 0.014 0.358 0.136
O 0.014 0.656 0.364
O 0.344 0.358 0.364
O 0.344 0.986 0.136
O 0.358 0.014 0.636
O 0.358 0.344 0.864
O 0.642 0.656 0.136
O 0.642 0.986 0.364
O 0.656 0.014 0.864
O 0.656 0.642 0.636
O 0.986 0.344 0.636
O 0.986 0.642 0.864

Calculated values
The space group is P-31c.


no.,ΔE_f (raw) (eV per atom),theoretical density (g/cm3)
1,-1.89,9.14
2,-2.11,7.95